Cs2HfSnS4 after structural relaxation, computed with PBE-GGA.

Unit cell a=14.2584 b=12.6893 c=8.2117 alpha=83.07 beta=62.06 gamma=34.87
Last column: nearest neighbours and their distance in Å.
Fractional coordinates of all 16 atoms:
Cs: 0.0558 0.0558 0.6942  6 S 3.70-4.03
Cs: 0.3058 0.3058 0.9442  6 S 3.70-4.03
Cs: 0.6942 0.6942 0.0558  6 S 3.70-4.03
Cs: 0.9442 0.9442 0.3058  6 S 3.70-4.03
Hf: 0.1250 0.1250 0.1250  4 S 2.39
Hf: 0.8750 0.8750 0.8750  4 S 2.39
Sn: 0.3750 0.3750 0.3750  4 S 2.79
Sn: 0.6250 0.6250 0.6250  4 S 2.79
S: 0.0608 0.2956 0.3720  1 Hf 2.39
S: 0.2284 0.6280 0.7044  1 Hf 2.39
S: 0.2956 0.0608 0.7716  1 Hf 2.39
S: 0.3720 0.7716 0.0608  1 Hf 2.39
S: 0.6280 0.2284 0.9392  1 Hf 2.39
S: 0.7044 0.9392 0.2284  1 Hf 2.39
S: 0.7716 0.3720 0.2956  1 Hf 2.39
S: 0.9392 0.7044 0.6280  1 Hf 2.39

- SG = No. 70
- DOS(E_F) (states/eV per cell) = 0.00
- magnetization (μB per cell) = 0.0
- formation energy (no corrections) (eV/atom) = -1.1634